The following is a DFT calculation (PBE-GGA) of a relaxed structure of LuBe2Si.

It has space group F-43m (No. 216), with a = 6.1647 Å, b = 6.1647 Å, c = 6.1647 Å, α = 90.00°, β = 90.00° and γ = 90.00°. Symmetry generates all atoms from Lu at (0.0000, 0.0000, 0.0000), Be at (0.0000, 0.0000, 0.5000), Be at (0.2500, 0.2500, 0.2500) and Si at (0.2500, 0.2500, 0.7500).

Its density is 6.3 g/cm³. As for the total DFT energy (no corrections): -4.1151 eV per atom. The calculation puts the total magnetization at 0.0 μB per cell.